[1]
First-principles (PBE) data for crystalline CdPS2Br at its relaxed geometry, as listed in Alexandria.

Lattice parameters (Å, degrees): 4.8067 4.8067 5.0626 90.00 90.00 90.00
Closest atoms and distances in Å follow each position.
Atoms (fractional coordinates):
Cd 0.0000 0.0000 0.0000  4 P 3.40, 8 S 3.49
P 0.5000 0.5000 0.0000  2 Br 2.53
S 0.0000 0.5000 0.5000  2 Br 2.40
S 0.5000 0.0000 0.5000  2 Br 2.40
Br 0.5000 0.5000 0.5000  4 S 2.40, 2 P 2.53

Values from the calculation:
space group = P4/mmm, No. 123

[2]
First-principles (PBE) data for crystalline CdPS2Br at its relaxed geometry, as listed in Alexandria.

Lattice parameters (Å, degrees): 4.8655 4.8655 5.4500 90.00 90.00 90.00
Closest atoms and distances in Å follow each position.
Atoms (fractional coordinates):
Cd 0.0000 0.0000 0.0000  4 S 2.43
P 0.0000 0.0000 0.5000  2 Cd 2.73
S 0.0000 0.5000 0.0000  2 Cd 2.43
S 0.5000 0.0000 0.0000  2 Cd 2.43
Br 0.5000 0.5000 0.5000  4 P 3.44, 8 S 3.65

Values from the calculation:
space group = P4/mmm, No. 123

[3]
First-principles (PBE) data for crystalline CdP2SBr at its relaxed geometry, as listed in Alexandria.

Lattice parameters (Å, degrees): 4.9651 4.9651 4.7654 90.00 90.00 90.00
Closest atoms and distances in Å follow each position.
Atoms (fractional coordinates):
Cd 0.0000 0.0000 0.0000  8 P 3.44, 4 S 3.51
P 0.0000 0.5000 0.5000  2 Br 2.48
P 0.5000 0.0000 0.5000  2 Br 2.48
S 0.5000 0.5000 0.0000  2 Br 2.38
Br 0.5000 0.5000 0.5000  2 S 2.38, 4 P 2.48

Values from the calculation:
E above lowest polymorph = 75.8 meV/atom
space group = P4/mmm, No. 123

[4]
First-principles (PBE) data for crystalline CdSbPBr2 at its relaxed geometry, as listed in Alexandria.

Lattice parameters (Å, degrees): 5.5792 5.5792 5.2961 90.00 90.00 90.00
Closest atoms and distances in Å follow each position.
Atoms (fractional coordinates):
Cd 0.0000 0.0000 0.0000  8 Br 3.85, 4 P 3.95
Sb 0.5000 0.5000 0.5000  2 P 2.65, 4 Br 2.79
P 0.5000 0.5000 0.0000  2 Sb 2.65
Br 0.0000 0.5000 0.5000  2 Sb 2.79
Br 0.5000 0.0000 0.5000  2 Sb 2.79

Values from the calculation:
space group = P4/mmm, No. 123

[5]
First-principles (PBE) data for crystalline Cd4SbPBr2 at its relaxed geometry, as listed in Alexandria.

Lattice parameters (Å, degrees): 8.8497 8.8497 7.9113 116.51 116.51 99.69
Closest atoms and distances in Å follow each position.
Atoms (fractional coordinates):
Cd 0.1961 0.3034 0.4996  1 P 2.66, 2 Sb 2.94-2.95, 2 Br 2.95
Cd 0.2203 0.7794 0.9743  2 P 2.75, 1 Sb 2.99, 2 Br 3.02-3.03
Cd 0.2206 0.7797 0.5257  2 P 2.75, 1 Sb 2.99, 2 Br 3.02-3.03
Cd 0.3034 0.1961 0.9996  1 P 2.66, 2 Sb 2.94-2.95, 2 Br 2.95
Cd 0.6966 0.8039 0.0004  1 P 2.66, 2 Sb 2.94-2.95, 2 Br 2.95
Cd 0.7794 0.2203 0.4743  2 P 2.75, 1 Sb 2.99, 2 Br 3.02-3.03
Cd 0.7797 0.2206 0.0257  2 P 2.75, 1 Sb 2.99, 2 Br 3.02-3.03
Cd 0.8039 0.6966 0.5004  1 P 2.66, 2 Sb 2.94-2.95, 2 Br 2.95
Sb 0.0000 0.0000 0.0000  6 Cd 2.94-2.99
Sb 0.0000 0.0000 0.5000  6 Cd 2.94-2.99
P 0.0000 0.5000 0.5000  6 Cd 2.66-2.75
P 0.5000 0.0000 0.0000  6 Cd 2.66-2.75
Br 0.0000 0.5000 0.0000  4 Cd 3.02-3.03
Br 0.5000 0.0000 0.5000  4 Cd 3.02-3.03
Br 0.5000 0.5000 0.0000  4 Cd 2.95
Br 0.5000 0.5000 0.5000  4 Cd 2.95

Values from the calculation:
space group = C2/c, No. 15

[6]
First-principles (PBE) data for crystalline CdPSeBr2 at its relaxed geometry, as listed in Alexandria.

Lattice parameters (Å, degrees): 5.0393 5.0393 5.1166 90.00 90.00 90.00
Closest atoms and distances in Å follow each position.
Atoms (fractional coordinates):
Cd 0.0000 0.0000 0.0000  4 Se 3.56, 8 Br 3.59
P 0.5000 0.5000 0.5000  4 Br 2.52, 2 Se 2.56
Se 0.5000 0.5000 0.0000  2 P 2.56
Br 0.0000 0.5000 0.5000  2 P 2.52
Br 0.5000 0.0000 0.5000  2 P 2.52

Values from the calculation:
E above lowest polymorph = 0.0 meV/atom
space group = P4/mmm, No. 123

[7]
First-principles (PBE) data for crystalline CdPSe2Br at its relaxed geometry, as listed in Alexandria.

Lattice parameters (Å, degrees): 5.3342 5.3342 5.2902 90.00 90.00 90.00
Closest atoms and distances in Å follow each position.
Atoms (fractional coordinates):
Cd 0.0000 0.0000 0.0000  2 Br 2.65, 4 Se 2.67
P 0.5000 0.5000 0.5000  8 Se 3.76, 4 Br 3.77
Se 0.0000 0.5000 0.0000  2 Cd 2.67
Se 0.5000 0.0000 0.0000  2 Cd 2.67
Br 0.0000 0.0000 0.5000  2 Cd 2.65

Values from the calculation:
E above lowest polymorph = 598.2 meV/atom
space group = P4/mmm, No. 123

[8]
First-principles (PBE) data for crystalline CdPSeBr2 at its relaxed geometry, as listed in Alexandria.

Lattice parameters (Å, degrees): 5.3497 5.3497 5.6060 90.00 90.00 90.00
Closest atoms and distances in Å follow each position.
Atoms (fractional coordinates):
Cd 0.0000 0.0000 0.0000  4 Br 2.67, 2 Se 2.80
P 0.5000 0.5000 0.5000  4 Se 3.78, 8 Br 3.87
Se 0.0000 0.0000 0.5000  2 Cd 2.80
Br 0.0000 0.5000 0.0000  2 Cd 2.67
Br 0.5000 0.0000 0.0000  2 Cd 2.67

Values from the calculation:
E above lowest polymorph = 452.5 meV/atom
space group = P4/mmm, No. 123

[9]
First-principles (PBE) data for crystalline Cd4PSe2Br at its relaxed geometry, as listed in Alexandria.

Lattice parameters (Å, degrees): 8.1339 8.1339 8.1339 120.58 119.48 89.95
Closest atoms and distances in Å follow each position.
Atoms (fractional coordinates):
Cd 0.2565 0.2424 0.0141  3 Se 2.79-2.96, 2 P 2.79, 1 Br 2.97
Cd 0.2618 0.2435 0.4817  1 P 2.75, 3 Se 2.78-3.02, 2 Br 2.98
Cd 0.2618 0.7801 0.0183  1 P 2.75, 3 Se 2.78-3.02, 2 Br 2.98
Cd 0.2716 0.7576 0.5141  3 Se 2.79-2.96, 2 P 2.79, 1 Br 2.97
Cd 0.7284 0.2424 0.4859  3 Se 2.79-2.96, 2 P 2.79, 1 Br 2.97
Cd 0.7382 0.2199 0.9817  1 P 2.75, 3 Se 2.78-3.02, 2 Br 2.98
Cd 0.7382 0.7565 0.5183  1 P 2.75, 3 Se 2.78-3.02, 2 Br 2.98
Cd 0.7435 0.7576 0.9859  3 Se 2.79-2.96, 2 P 2.79, 1 Br 2.97
P 0.5000 0.0000 0.0000  6 Cd 2.75-2.79
P 0.5000 0.5000 0.5000  6 Cd 2.75-2.79
Se 0.0000 0.0000 0.0000  6 Cd 2.78-2.79
Se 0.0000 0.0000 0.5000  6 Cd 2.96-3.02
Se 0.0000 0.5000 0.0000  6 Cd 2.96-3.02
Se 0.5000 0.0000 0.5000  6 Cd 2.78-2.79
Br 0.0000 0.5000 0.5000  6 Cd 2.97-2.98
Br 0.5000 0.5000 0.0000  6 Cd 2.97-2.98

Values from the calculation:
space group = Imma, No. 74

[10]
First-principles (PBE) data for crystalline CdPSe2Br at its relaxed geometry, as listed in Alexandria.

Lattice parameters (Å, degrees): 4.9559 4.9559 4.9843 90.00 90.00 90.00
Closest atoms and distances in Å follow each position.
Atoms (fractional coordinates):
Cd 0.0000 0.0000 0.0000  4 Br 3.50, 8 Se 3.51
P 0.5000 0.5000 0.5000  4 Se 2.48, 2 Br 2.49
Se 0.0000 0.5000 0.5000  2 P 2.48
Se 0.5000 0.0000 0.5000  2 P 2.48
Br 0.5000 0.5000 0.0000  2 P 2.49

Values from the calculation:
E above lowest polymorph = 0.0 meV/atom
space group = P4/mmm, No. 123

[11]
First-principles (PBE) data for crystalline VCdP2Br at its relaxed geometry, as listed in Alexandria.

Lattice parameters (Å, degrees): 4.8566 4.8566 5.5342 90.00 90.00 90.00
Closest atoms and distances in Å follow each position.
Atoms (fractional coordinates):
V 0.0000 0.0000 0.0000  4 Br 3.43, 8 P 3.68
Cd 0.5000 0.5000 0.5000  4 P 2.43
P 0.0000 0.5000 0.5000  2 Cd 2.43
P 0.5000 0.0000 0.5000  2 Cd 2.43
Br 0.5000 0.5000 0.0000  2 Cd 2.77

Values from the calculation:
space group = P4/mmm, No. 123

[12]
First-principles (PBE) data for crystalline V2CdPBr at its relaxed geometry, as listed in Alexandria.

Lattice parameters (Å, degrees): 4.7628 4.7628 5.1978 90.00 90.00 90.00
Closest atoms and distances in Å follow each position.
Atoms (fractional coordinates):
V 0.0000 0.5000 0.0000  2 P 2.38
V 0.5000 0.0000 0.0000  2 P 2.38
Cd 0.0000 0.0000 0.5000  2 P 2.60
P 0.0000 0.0000 0.0000  4 V 2.38, 2 Cd 2.60
Br 0.5000 0.5000 0.5000  4 Cd 3.37, 8 V 3.52

Values from the calculation:
space group = P4/mmm, No. 123

no.,calculated density (kg/m³),formation energy without anion corrections (eV/atom)
1,4080,1.08
2,3699,1.02
3,4047,1.24
4,4280,0.28
5,5743,-0.23
6,4884,0.10
7,4205,0.82
8,3955,0.55
9,6274,-0.32
10,5171,0.22
11,3883,1.38
12,4579,0.41